Al3TlBr: relaxed, PBE.

Unit cell a=5.450 b=5.450 c=5.450 alpha=90.00 beta=90.00 gamma=90.00
Space group Pm-3m (No. 221)
One atom of each set of equivalent atoms:
Al 0.000 0.000 0.500 x3
Tl 0.500 0.500 0.500 x1
Br 0.000 0.000 0.000 x1

Properties
The value obtained for the energy relative to the elements, uncorrected is 0.740 eV/atom.

---

CaTbTh2: relaxed, PBE.

Unit cell a=3.5095 b=3.5095 c=38.6634 alpha=90.00 beta=90.00 gamma=120.00
Space group R-3m (No. 166, hexagonal axes)
One atom of each set of equivalent atoms:
Ca 0.0000 0.0000 0.0000 x3
Tb 0.0000 0.0000 0.5000 x3
Th 0.0000 0.0000 0.0899 x6

Properties
As for the energy of formation from the pure elements: 23 kJ/mol of atoms.

---

HfAl2Rh: relaxed, PBE.

Unit cell a=3.981 b=3.981 c=4.130 alpha=90.00 beta=90.00 gamma=90.00
Space group P4/mmm (No. 123)
One atom of each set of equivalent atoms:
Hf 0.000 0.000 0.000 x1
Al 0.000 0.500 0.500 x2
Rh 0.500 0.500 0.000 x1

Properties
As for the energy of formation from the pure elements: -60 kJ/mol of atoms.

---

TbTm2Mg6: relaxed, PBE.

Unit cell a=3.288 b=9.025 c=15.848 alpha=90.00 beta=90.00 gamma=90.00
Space group Immm (No. 71)
One atom of each set of equivalent atoms:
Tb 0.000 0.000 0.000 x2
Tm 0.000 0.500 0.151 x4
Mg 0.000 0.171 0.500 x4
Mg 0.000 0.326 0.331 x8

Properties
As for the energy of formation from the pure elements: 0 kJ/mol of atoms.

---

TbSmEr14: relaxed, PBE.

Unit cell a=11.356 b=7.072 c=12.235 alpha=90.00 beta=90.00 gamma=90.00
Space group Amm2 (No. 38)
One atom of each set of equivalent atoms:
Tb 0.000 0.000 0.000 x2
Sm 0.000 0.000 0.500 x2
Er 0.000 0.250 0.250 x4
Er 0.251 0.000 0.167 x4
Er 0.251 0.000 0.667 x4
Er 0.252 0.250 0.417 x8
Er 0.500 0.000 0.334 x2
Er 0.500 0.000 0.834 x2
Er 0.500 0.250 0.084 x4

Properties
As for the energy of formation from the pure elements: 1 kJ/mol of atoms.

---

CdCo2As: relaxed, PBE.

Unit cell a=3.610 b=4.582 c=7.009 alpha=90.00 beta=90.00 gamma=90.00
Space group Immm (No. 71)
One atom of each set of equivalent atoms:
Cd 0.000 0.000 0.000 x2
Co 0.000 0.500 0.204 x4
As 0.000 0.000 0.500 x2

Properties
As for the energy of formation from the pure elements: 22 kJ/mol of atoms.

---

Sr2CaSmS4: relaxed, PBE.

Unit cell a=7.160 b=4.126 c=7.206 alpha=90.00 beta=109.31 gamma=90.00
Space group P2/m (No. 10)
One atom of each set of equivalent atoms:
Sr 0.000 0.000 0.000 x1
Sr 0.500 0.500 0.000 x1
Ca 0.000 0.500 0.500 x1
Sm 0.500 0.000 0.500 x1
S 0.247 0.000 0.735 x2
S 0.256 0.500 0.265 x2

Properties
The value obtained for the energy relative to the elements, uncorrected is -2.088 eV/atom.

---

CsNaP2: relaxed, PBE.

Unit cell a=4.899 b=4.899 c=20.030 alpha=90.00 beta=90.00 gamma=90.00
Space group I4_1/amd (No. 141, origin choice 2)
One atom of each set of equivalent atoms:
Cs 0.000 0.250 0.375 x4
Na 0.000 0.250 0.875 x4
P 0.000 0.000 0.000 x8

Properties
As for the energy of formation from the pure elements: -1 kJ/mol of atoms.

---

SbAs2O8: relaxed, PBE.

Unit cell a=5.4865 b=5.4865 c=6.7344 alpha=90.00 beta=90.00 gamma=120.00
Space group P-3m1 (No. 164)
One atom of each set of equivalent atoms:
Sb 0.0000 0.0000 0.0000 x1
As 0.3333 0.6667 0.2615 x2
O 0.1625 0.3250 0.1814 x6
O 0.3333 0.6667 0.5129 x2

Properties
The value obtained for the energy relative to the elements, uncorrected is -0.892 eV/atom.

---

Ta3Cd: relaxed, PBE.

Unit cell a=5.071 b=5.071 c=5.071 alpha=90.00 beta=90.00 gamma=90.00
Space group Pm-3m (No. 221)
One atom of each set of equivalent atoms:
Ta 0.000 0.000 0.500 x3
Cd 0.000 0.000 0.000 x1

Properties
As for the energy of formation from the pure elements: 329 kJ/mol of atoms.

---

Dy2B4Os3: relaxed, PBE.

Unit cell a=5.686 b=9.164 c=9.668 alpha=90.00 beta=90.00 gamma=90.00
Space group Fmmm (No. 69)
One atom of each set of equivalent atoms:
Dy 0.000 0.000 0.158 x8
B 0.000 0.216 0.334 x16
Os 0.000 0.000 0.500 x4
Os 0.250 0.250 0.000 x8

Properties
As for the energy of formation from the pure elements: -1 kJ/mol of atoms.

---

Pm4YHo2: relaxed, PBE.

Unit cell a=11.955 b=24.223 c=6.466 alpha=90.00 beta=90.00 gamma=90.00
Space group Fdd2 (No. 43)
One atom of each set of equivalent atoms:
Pm 0.052 0.429 0.000 x16
Pm 0.068 0.356 0.470 x16
Y 0.000 0.000 0.006 x8
Ho 0.025 0.285 0.943 x16

Properties
As for the energy of formation from the pure elements: 5 kJ/mol of atoms.

---

What did the seventh record say?
Sr2CaSmS4: relaxed, PBE.

Unit cell a=7.160 b=4.126 c=7.206 alpha=90.00 beta=109.31 gamma=90.00
Space group P2/m (No. 10)
One atom of each set of equivalent atoms:
Sr 0.000 0.000 0.000 x1
Sr 0.500 0.500 0.000 x1
Ca 0.000 0.500 0.500 x1
Sm 0.500 0.000 0.500 x1
S 0.247 0.000 0.735 x2
S 0.256 0.500 0.265 x2

Properties
The value obtained for the energy relative to the elements, uncorrected is -2.088 eV/atom.